No. 1
Ac4HgPtBr2 | PBE | relaxed

```
8
Lattice="-1.005 -1.227 -4.225 7.697 -3.129 -0.923 -0.066 -7.781 2.274" Properties=species:S:1:pos:R:3 pbc="T T T"
Ac 1.239 -3.916 -3.979
Ac 1.589 -7.472 -0.620
Ac 5.036 -4.664 -2.255
Ac 5.386 -8.221 1.104
Hg 3.815 -5.455 0.675
Br -0.066 -7.781 2.274
Br -0.536 -4.504 -0.976
Pt 3.346 -2.178 -2.574
```

Computed properties:
Formation energy (no corrections) in eV/atom: -1.05
Total energy in eV per cell: -34.55



No. 2
RbAcHgBr6 | PBE | relaxed

```
18
Lattice="7.650 0.000 0.000 -3.825 6.625 0.000 0.000 0.000 15.257" Properties=species:S:1:pos:R:3 pbc="T T T"
Br 1.517 2.389 5.526
Br 4.822 0.119 5.526
Br 6.133 2.389 2.102
Br 0.997 6.506 13.155
Br 1.311 2.509 13.155
Br 2.308 4.236 9.730
Br 2.828 0.119 2.102
Br 5.136 4.117 5.526
Br -1.311 2.509 9.730
Br -0.997 6.506 9.730
Br -2.308 4.236 13.155
Br 2.514 4.117 2.102
Ac 0.000 4.417 3.814
Ac 3.825 2.208 11.443
Hg 3.825 2.208 3.814
Hg 0.000 4.417 11.443
Rb 0.000 0.000 0.000
Rb 0.000 0.000 7.628
```

Computed properties:
Formation energy (no corrections) in eV/atom: -1.42
Total energy in eV per cell: -56.37



No. 3
Ac3HgRhBr | PBE | relaxed

```
12
Lattice="4.386 0.000 0.000 0.000 9.417 0.600 0.000 -1.804 10.008" Properties=species:S:1:pos:R:3 pbc="T T T"
Rh 3.290 1.725 8.868
Rh 1.097 5.888 1.740
Br 1.097 -0.346 6.099
Br 3.290 7.959 4.509
Ac 3.290 3.855 1.845
Ac 1.097 5.660 4.867
Ac 1.097 3.758 8.763
Ac 3.290 1.953 5.740
Ac 1.097 -0.269 9.106
Ac 3.290 7.882 1.502
Hg 3.290 6.257 7.970
Hg 1.097 1.355 2.637
```

Computed properties:
Formation energy (no corrections) in eV/atom: -0.74
Total energy in eV per cell: -52.14



No. 4
Ac4Hg2RhBr | PBE | relaxed

```
8
Lattice="4.353 0.000 0.000 0.000 8.088 0.313 0.000 -2.663 7.940" Properties=species:S:1:pos:R:3 pbc="T T T"
Br 0.000 0.000 0.000
Ac 0.000 0.271 6.325
Ac 2.177 3.806 6.333
Ac 0.000 5.154 1.928
Ac 2.177 1.620 1.919
Hg 0.000 2.713 4.126
Hg 2.177 -1.331 3.970
Rh 2.177 4.044 0.156
```

Computed properties:
Formation energy (no corrections) in eV/atom: -0.70
Total energy in eV per cell: -31.67



No. 5
Ac4HgRhBr2 | PBE | relaxed

```
8
Lattice="-0.112 4.374 0.556 -6.836 0.375 -4.331 -2.021 -1.112 8.347" Properties=species:S:1:pos:R:3 pbc="T T T"
Br -4.429 -0.368 2.008
Br -1.066 1.631 4.452
Ac -3.483 -0.789 5.506
Ac -5.375 0.052 -1.490
Ac -2.393 2.060 0.806
Ac -6.576 1.577 3.766
Hg 0.000 0.000 0.000
Rh -3.474 2.375 -1.888
```

Computed properties:
Formation energy (no corrections) in eV/atom: -0.97
Total energy in eV per cell: -35.15



No. 6
Ac4HgRuBr2 | PBE | relaxed

```
8
Lattice="-1.997 -3.115 2.294 3.757 -5.657 -4.409 4.983 1.926 6.952" Properties=species:S:1:pos:R:3 pbc="T T T"
Ru 0.880 -4.386 -1.057
Br 1.493 -0.595 4.623
Br 4.370 -1.865 1.271
Ac 3.700 -3.720 -1.830
Ac 1.091 -2.769 1.321
Ac 5.652 -4.076 3.516
Ac 5.040 -0.010 4.373
Hg 0.000 0.000 0.000
```

Computed properties:
Formation energy (no corrections) in eV/atom: -0.86
Total energy in eV per cell: -36.22